Compound: SnAs2P
Source: the Alexandria database
Functional: PBE
Structure: optimized geometry

## Properties
space group	No. 225
density	6.21	g cm⁻³
E_tot	-16.76	eV/f.u.

abc: 4.839 4.839 4.839
angles: 60.00 60.00 60.00
Positions (direct):
Sn  0.000  0.000  0.000
As  0.250  0.250  0.250
As  0.750  0.750  0.750
P  0.500  0.500  0.500